(1)
Here is a PBEsol-optimized structure of LaSiSe2 from Alexandria. Energies are from meta-GGA SCAN.

Calculated values
- SG = No. 99
- E_form (uncorrected) (eV per atom) = -0.93

Cell lengths 3.9878, 3.9878, 6.0597 Å; angles 90.00, 90.00, 90.00 degrees
Positions (direct):
La: 0.5000 0.5000 0.8151
Se: 0.5000 0.5000 0.3367
Se: 0.0000 0.0000 0.9630
Si: 0.0000 0.0000 0.3851


(2)
Here is a PBEsol-optimized structure of LaSiSe2 from Alexandria. Energies are from meta-GGA SCAN.

Calculated values
- SG = No. 44
- E_form (uncorrected) (eV per atom) = -0.86

Cell lengths 4.1743, 4.0382, 6.0181 Å; angles 109.60, 110.29, 90.00 degrees
Positions (direct):
Se: 0.7462 0.2462 0.4925
Se: 0.9997 0.9997 0.9993
Si: 0.5031 0.5031 0.0062
La: 0.2510 0.7510 0.5020


(3)
Here is a PBEsol-optimized structure of La2SiSe from Alexandria. Energies are from meta-GGA SCAN.

Calculated values
- SG = No. 166
- E_form (uncorrected) (eV per atom) = -1.51
- excess energy over the best structure of this formula in the dataset (meV/atom) = 16

Cell lengths 4.3058, 4.3058, 7.4984 Å; angles 73.31, 73.31, 60.00 degrees
Positions (direct):
La: 0.2523 0.2523 0.2430
La: 0.7477 0.7477 0.7570
Se: 0.5000 0.5000 0.5000
Si: 0.0000 0.0000 0.0000


(4)
Here is a PBEsol-optimized structure of La2SiSe from Alexandria. Energies are from meta-GGA SCAN.

Calculated values
- SG = No. 122
- E_form (uncorrected) (eV per atom) = -1.01
- excess energy over the best structure of this formula in the dataset (meV/atom) = 515

Cell lengths 6.5069, 6.5069, 8.4715 Å; angles 112.58, 112.58, 90.00 degrees
Positions (direct):
La: 0.6250 0.6166 0.7500
La: 0.1250 0.1334 0.7500
La: 0.8666 0.3750 0.2500
La: 0.3834 0.8750 0.2500
Si: 0.5000 0.5000 0.0000
Si: 0.7500 0.2500 0.5000
Se: 0.0000 0.0000 0.0000
Se: 0.2500 0.7500 0.5000


(5)
Here is a PBEsol-optimized structure of LaSi2Se from Alexandria. Energies are from meta-GGA SCAN.

Calculated values
- SG = No. 10
- E_form (uncorrected) (eV per atom) = -0.46

Cell lengths 3.9766, 4.4082, 5.1912 Å; angles 90.00, 90.00, 91.09 degrees
Positions (direct):
Si: 0.7377 0.8428 0.0000
Si: 0.2623 0.1572 0.0000
La: 0.0000 0.5000 0.5000
Se: 0.5000 0.0000 0.5000


(6)
Here is a PBEsol-optimized structure of LaSnSe3 from Alexandria. Energies are from meta-GGA SCAN.

Calculated values
- SG = No. 221
- E_form (uncorrected) (eV per atom) = -0.83

Cell lengths 5.1825, 5.1825, 5.1825 Å; angles 90.00, 90.00, 90.00 degrees
Last column: magnetic moment on the atom in μB.
Positions (direct):
Se: 0.5000 0.0000 0.0000  0.00
Se: 0.0000 0.5000 0.0000  0.00
Se: 0.0000 0.0000 0.5000  0.00
La: 0.5000 0.5000 0.5000  0.14
Sn: 0.0000 0.0000 0.0000  0.01